Record 1
A relaxed HfNiSnAu crystal, computed with PBE.

Cell and atoms, written as POSCAR:
```
HfNiSnAu
1.0
6.592 0.000 0.000
0.000 6.592 0.000
0.000 0.000 6.592
Hf Ni Sn Au
4 4 4 4
Direct
0.000 0.000 0.000
0.000 0.500 0.500
0.500 0.000 0.500
0.500 0.500 0.000
0.000 0.000 0.500
0.000 0.500 0.000
0.500 0.000 0.000
0.500 0.500 0.500
0.250 0.250 0.250
0.250 0.750 0.750
0.750 0.250 0.750
0.750 0.750 0.250
0.250 0.250 0.750
0.250 0.750 0.250
0.750 0.250 0.250
0.750 0.750 0.750
```

Output
As for the space group: F-43m (216). The value obtained for the spin magnetization is 0.00 μB/atom. As for the total energy: -5.888 eV/atom.



Record 2
A relaxed Hf31AuO64 crystal, computed with PBE.

Cell and atoms, written as POSCAR:
```
Hf31AuO64
1.0
9.976 0.000 0.000
0.060 10.099 0.000
0.032 0.005 10.426
Hf Au O
31 1 64
Direct
0.000 0.000 0.000
0.000 0.001 0.497
0.000 0.504 0.499
0.000 0.754 0.282
0.225 0.757 0.039
0.228 0.008 0.749
0.228 0.759 0.532
0.230 0.262 0.029
0.230 0.511 0.749
0.231 0.503 0.249
0.232 0.259 0.537
0.496 0.758 0.283
0.497 0.760 0.785
0.498 0.012 0.503
0.499 0.512 0.999
0.500 0.260 0.785
0.500 0.511 0.500
0.501 0.011 0.999
0.507 0.264 0.288
0.728 0.755 0.035
0.728 0.755 0.534
0.730 0.004 0.251
0.730 0.505 0.749
0.731 0.255 0.035
0.731 0.507 0.249
0.732 0.004 0.750
0.732 0.254 0.536
0.998 0.754 0.784
0.999 0.253 0.285
0.999 0.253 0.784
0.999 0.504 0.999
0.245 0.030 0.248
0.076 0.870 0.136
0.088 0.378 0.145
0.090 0.633 0.635
0.090 0.883 0.647
0.091 0.133 0.634
0.092 0.383 0.648
0.092 0.626 0.138
0.099 0.128 0.141
0.132 0.874 0.388
0.136 0.630 0.899
0.137 0.130 0.899
0.138 0.377 0.386
0.138 0.381 0.885
0.138 0.879 0.884
0.139 0.626 0.397
0.145 0.126 0.400
0.322 0.451 0.074
0.322 0.948 0.083
0.323 0.693 0.205
0.323 0.696 0.705
0.324 0.946 0.580
0.325 0.195 0.705
0.325 0.446 0.579
0.327 0.232 0.202
0.402 0.946 0.834
0.404 0.698 0.955
0.405 0.196 0.954
0.405 0.447 0.829
0.405 0.697 0.455
0.407 0.199 0.454
0.407 0.949 0.331
0.410 0.452 0.330
0.590 0.632 0.147
0.590 0.632 0.648
0.590 0.882 0.136
0.590 0.882 0.638
0.591 0.131 0.150
0.592 0.131 0.650
0.592 0.381 0.637
0.593 0.383 0.136
0.631 0.884 0.398
0.636 0.884 0.897
0.637 0.634 0.886
0.638 0.384 0.898
0.638 0.635 0.386
0.639 0.133 0.888
0.641 0.134 0.389
0.641 0.385 0.399
0.820 0.816 0.205
0.824 0.568 0.579
0.824 0.817 0.703
0.825 0.067 0.580
0.825 0.318 0.205
0.825 0.318 0.705
0.825 0.569 0.079
0.827 0.070 0.082
0.899 0.819 0.949
0.900 0.819 0.452
0.905 0.068 0.829
0.905 0.317 0.954
0.905 0.566 0.330
0.905 0.567 0.829
0.906 0.069 0.330
0.907 0.316 0.455
```

Output
As for the space group: P1 (1). The value obtained for the spin magnetization is 0.01 μB/atom. As for the total energy: -9.950 eV/atom.



Record 3
A relaxed Hf2Au2O5 crystal, computed with PBE.

Cell and atoms, written as POSCAR:
```
Hf2Au2O5
1.0
3.928 0.000 0.000
0.000 3.928 0.000
0.000 0.000 8.403
Hf Au O
2 2 5
Direct
0.000 0.000 0.237
0.000 0.000 0.763
0.500 0.500 0.000
0.500 0.500 0.500
0.000 0.000 0.000
0.000 0.500 0.299
0.000 0.500 0.701
0.500 0.000 0.299
0.500 0.000 0.701
```

Output
As for the space group: P4/mmm (123). The value obtained for the spin magnetization is 0.02 μB/atom. The energy above the most stable polymorph in this dataset comes out at 0 meV/atom. As for the total energy: -7.535 eV/atom.



Record 4
A relaxed Hf31AuO64 crystal, computed with PBE.

Cell and atoms, written as POSCAR:
```
Hf31AuO64
1.0
10.020 0.000 0.000
-0.072 10.089 0.000
-0.017 -0.009 10.458
Hf Au O
31 1 64
Direct
0.000 0.000 0.000
0.000 0.248 0.218
0.001 0.249 0.719
0.223 0.507 0.756
0.228 0.251 0.468
0.230 0.501 0.252
0.230 0.753 0.468
0.231 0.753 0.969
0.233 0.001 0.252
0.233 0.253 0.971
0.236 0.000 0.750
0.497 0.499 0.003
0.499 0.249 0.219
0.499 0.744 0.717
0.499 0.750 0.217
0.500 0.504 0.495
0.501 0.999 0.001
0.505 0.998 0.505
0.728 0.000 0.752
0.730 0.748 0.967
0.731 0.246 0.969
0.731 0.497 0.752
0.731 0.999 0.251
0.732 0.246 0.467
0.732 0.500 0.250
0.733 0.749 0.468
0.996 0.500 0.003
0.996 0.754 0.719
0.998 0.501 0.503
0.999 0.001 0.502
0.999 0.751 0.218
0.485 0.271 0.709
0.090 0.377 0.856
0.092 0.627 0.869
0.093 0.375 0.355
0.094 0.125 0.366
0.094 0.625 0.368
0.095 0.876 0.352
0.096 0.877 0.851
0.101 0.127 0.868
0.134 0.625 0.118
0.134 0.629 0.618
0.135 0.376 0.104
0.135 0.876 0.102
0.136 0.877 0.602
0.137 0.126 0.118
0.138 0.126 0.617
0.139 0.378 0.606
0.324 0.690 0.801
0.326 0.435 0.918
0.328 0.432 0.420
0.329 0.183 0.304
0.329 0.186 0.800
0.329 0.682 0.300
0.329 0.935 0.920
0.330 0.935 0.420
0.399 0.431 0.170
0.401 0.681 0.050
0.402 0.182 0.051
0.402 0.931 0.170
0.403 0.184 0.552
0.403 0.476 0.670
0.404 0.930 0.670
0.405 0.688 0.545
0.589 0.368 0.852
0.592 0.124 0.365
0.593 0.869 0.852
0.594 0.620 0.866
0.595 0.375 0.352
0.595 0.626 0.364
0.595 0.875 0.353
0.608 0.114 0.878
0.629 0.371 0.604
0.634 0.374 0.101
0.634 0.624 0.117
0.636 0.125 0.121
0.636 0.869 0.604
0.637 0.874 0.102
0.640 0.621 0.613
0.653 0.114 0.604
0.823 0.432 0.920
0.826 0.434 0.422
0.828 0.679 0.800
0.829 0.681 0.300
0.830 0.180 0.301
0.830 0.931 0.419
0.833 0.925 0.917
0.834 0.180 0.802
0.899 0.679 0.052
0.900 0.429 0.170
0.901 0.431 0.670
0.901 0.934 0.669
0.902 0.179 0.051
0.902 0.932 0.168
0.903 0.683 0.550
0.908 0.186 0.548
```

Output
As for the space group: P1 (1). The value obtained for the spin magnetization is 0.01 μB/atom. As for the total energy: -9.949 eV/atom.



Record 5
A relaxed Hf2Au2O5 crystal, computed with PBE.

Cell and atoms, written as POSCAR:
```
Hf2Au2O5
1.0
3.603 0.000 0.000
0.000 3.603 0.000
0.000 0.000 8.215
Hf Au O
2 2 5
Direct
0.000 0.000 0.000
0.000 0.000 0.500
0.500 0.500 0.160
0.500 0.500 0.840
0.000 0.500 0.325
0.000 0.500 0.675
0.500 0.000 0.325
0.500 0.000 0.675
0.500 0.500 0.500
```

Output
As for the space group: P4/mmm (123). The value obtained for the spin magnetization is 0.22 μB/atom. The energy above the most stable polymorph in this dataset comes out at 1058 meV/atom. As for the total energy: -6.477 eV/atom.



Record 6
A relaxed HfPAuO crystal, computed with PBE.

Cell and atoms, written as POSCAR:
```
HfPAuO
1.0
3.691 0.000 0.000
0.000 3.691 0.000
0.000 0.000 8.845
Hf P Au O
2 2 2 2
Direct
0.250 0.250 0.137
0.750 0.750 0.863
0.250 0.250 0.729
0.750 0.750 0.271
0.250 0.750 0.500
0.750 0.250 0.500
0.250 0.750 0.000
0.750 0.250 0.000
```

Output
As for the space group: P4/nmm (129). The value obtained for the spin magnetization is 0.00 μB/atom. The energy above the most stable polymorph in this dataset comes out at 0 meV/atom. As for the total energy: -7.223 eV/atom.